# TlVF3

Crystalline TlVF3 at its relaxed geometry (PBE with a Hubbard U, Alexandria via LeMat-Bulk).

Geometry as extended XYZ:
```
10
Lattice="-1.332 -0.043 -7.205 -3.650 -1.672 0.686 -1.985 6.996 -3.422" Properties=species:S:1:pos:R:3 pbc="T T T"
F -2.596 5.017 -4.491
F -4.633 -0.249 -4.061
F -3.994 -0.225 -0.630
F -3.291 4.995 -8.271
F -3.631 2.376 -4.281
F -4.317 2.353 -7.969
Tl -5.867 5.033 -9.560
Tl -2.008 -0.262 -2.770
V -2.494 3.187 -8.281
V -1.823 3.210 -4.688
```

## Properties
Space group: P1 (1)
Polymorph energy (0 for the lowest one), meV per atom: 224.9